The following is a DFT calculation (PBE) of a relaxed BeVCrOs crystal.

Cell: 5.8245 5.8245 5.8245 Å, 90.00 90.00 90.00°
Space group F-43m (No. 216)
Inequivalent atoms, fractional coordinates:
Be: 0.0000 0.0000 0.0000
V: 0.0000 0.0000 0.5000
Cr: 0.2500 0.2500 0.7500
Os: 0.2500 0.2500 0.2500

Properties
Its crystal system is cubic. The value obtained for the calculated formation energy is -0.14 eV/atom. The calculation puts the energy at -137.106 eV/cell.

---

The following is a DFT calculation (PBE) of a relaxed BeCr2P crystal.

Cell: 8.0564 2.7707 3.9246 Å, 90.00 103.69 90.00°
Space group Cm (No. 8)
Inequivalent atoms, fractional coordinates:
Be: 0.0000 0.0000 0.0000
Cr: 0.0284 0.5000 0.5198
Cr: 0.2467 0.5000 0.2025
P: 0.2713 0.0000 0.7295

Properties
Its crystal system is monoclinic. The energy relative to the lowest polymorph listed for this composition comes out at 202 meV per atom. The value obtained for the calculated formation energy is -0.07 eV/atom. The calculation puts the energy at -57.341 eV/cell.

---

The following is a DFT calculation (PBE) of a relaxed BeCr2P crystal.

Cell: 3.3471 3.3471 16.5859 Å, 90.00 90.00 90.00°
Space group I-42d (No. 122)
Inequivalent atoms, fractional coordinates:
Be: 0.0000 0.0000 0.0000
Cr: 0.2262 0.2500 0.1250
P: 0.0000 0.0000 0.5000

Properties
Its crystal system is tetragonal. The energy relative to the lowest polymorph listed for this composition comes out at 494 meV per atom. The value obtained for the calculated formation energy is 0.22 eV/atom. The calculation puts the energy at -110.018 eV/cell.

---

The following is a DFT calculation (PBE) of a relaxed BeCrP2 crystal.

Cell: 4.9550 6.1917 2.9777 Å, 90.00 90.00 90.00°
Space group Cmmm (No. 65)
Inequivalent atoms, fractional coordinates:
Be: 0.0000 0.0000 0.0000
Cr: 0.0000 0.5000 0.0000
P: 0.2500 0.2500 0.5000

Properties
Its crystal system is orthorhombic. The value obtained for the calculated formation energy is 0.16 eV/atom. The calculation puts the energy at -47.032 eV/cell.

---

The following is a DFT calculation (PBE) of a relaxed BeCrP3 crystal.

Cell: 4.4093 4.4093 4.4093 Å, 90.00 90.00 90.00°
Space group Pm-3m (No. 221)
Inequivalent atoms, fractional coordinates:
Be: 0.0000 0.0000 0.0000
Cr: 0.5000 0.5000 0.5000
P: 0.0000 0.5000 0.5000

Properties
Its crystal system is cubic. The energy relative to the lowest polymorph listed for this composition comes out at 0 meV per atom. The value obtained for the calculated formation energy is 0.81 eV/atom. The calculation puts the energy at -25.508 eV/cell.

---

The following is a DFT calculation (PBE) of a relaxed BeCrP2 crystal.

Cell: 3.0392 3.0392 18.5412 Å, 90.00 90.00 120.00°
Space group R-3m (No. 166, hexagonal axes)
Inequivalent atoms, fractional coordinates:
Be: 0.0000 0.0000 0.0000
Cr: 0.0000 0.0000 0.5000
P: 0.0000 0.0000 0.2514

Properties
Its crystal system is trigonal. The value obtained for the calculated formation energy is -0.05 eV/atom. The calculation puts the energy at -73.060 eV/cell.

---

The following is a DFT calculation (PBE) of a relaxed Be2CrP crystal.

Cell: 2.3973 2.3973 7.4408 Å, 90.00 90.00 90.00°
Space group P4/mmm (No. 123)
Inequivalent atoms, fractional coordinates:
Be: 0.0000 0.0000 0.2342
Cr: 0.5000 0.5000 0.0000
P: 0.5000 0.5000 0.5000

Properties
Its crystal system is tetragonal. The value obtained for the calculated formation energy is 0.29 eV/atom. The calculation puts the energy at -21.340 eV/cell.

---

The following is a DFT calculation (PBE) of a relaxed BeCr2P crystal.

Cell: 5.5095 5.5095 5.5095 Å, 90.00 90.00 90.00°
Space group Fm-3m (No. 225)
Inequivalent atoms, fractional coordinates:
Be: 0.0000 0.0000 0.0000
Cr: 0.2500 0.2500 0.2500
P: 0.0000 0.0000 0.5000

Properties
Its crystal system is cubic. The energy relative to the lowest polymorph listed for this composition comes out at 225 meV per atom. The value obtained for the calculated formation energy is -0.05 eV/atom. The calculation puts the energy at -114.320 eV/cell.

---

The following is a DFT calculation (PBE) of a relaxed Be2CrP crystal.

Cell: 3.4395 3.4395 3.3318 Å, 90.00 90.00 90.00°
Space group P4/mmm (No. 123)
Inequivalent atoms, fractional coordinates:
Be: 0.0000 0.5000 0.0000
Cr: 0.0000 0.0000 0.5000
P: 0.5000 0.5000 0.5000

Properties
Its crystal system is tetragonal. The value obtained for the calculated formation energy is -0.08 eV/atom. The calculation puts the energy at -22.823 eV/cell.

---

The following is a DFT calculation (PBE) of a relaxed BeCr2P crystal.

Cell: 3.4741 2.9933 8.2569 Å, 90.00 90.00 90.00°
Space group Amm2 (No. 38)
Inequivalent atoms, fractional coordinates:
Be: 0.0000 0.0000 0.0000
Cr: 0.0000 0.0000 0.2743
Cr: 0.5000 0.0000 0.5617
P: 0.5000 0.0000 0.8444

Properties
Its crystal system is orthorhombic. The energy relative to the lowest polymorph listed for this composition comes out at 0 meV per atom. The value obtained for the calculated formation energy is -0.27 eV/atom. The calculation puts the energy at -58.958 eV/cell.